The following is a GGA+U calculation of a relaxed structure of CoSiO2F, from Alexandria.

Summary:
SG = P4/mmm, No. 123
E = -5.127 eV/atom

The structure in extended XYZ format:
```
5
Lattice="3.784 0.000 0.000 0.000 3.784 0.000 0.000 0.000 3.909" Properties=species:S:1:pos:R:3 pbc="T T T"
Si 1.892 1.892 1.954
O 0.000 1.892 0.000
O 1.892 0.000 0.000
F 0.000 0.000 1.954
Co 0.000 0.000 0.000
```